Material: Co3Ru
Method: DFT, PBE-GGA
State: relaxed

```
Co3Ru
1.0
-3.001 -2.457 1.337
-0.057 -1.226 3.915
-2.853 1.455 2.564
Co Ru
3 1
Cartesian
0.000 0.000 0.000
-2.956 -1.114 3.907
-4.434 -1.670 5.861
-1.478 -0.557 1.954
```

As for the crystal system: cubic. For the formation energy from the elements, the calculation gives 0.2491 eV/atom. For the density of states at the Fermi level, the calculation gives 5.92 states/eV per cell. Its space group is Fm-3m (225). For the calculated density, the calculation gives 9.5 g/cm³. Its total DFT energy (no corrections) is -29.60 eV/f.u.